The following is a PBE-GGA calculation of a relaxed AsPtPb crystal, from Alexandria.

Unit cell a=6.6620 b=6.6620 c=6.6620 alpha=151.37 beta=151.37 gamma=40.93
Element x y z (fractional)
As (0.0000, 0.0000, 0.0000)
Pt (0.5934, 0.5934, 0.0000)
Pb (0.2658, 0.2658, 0.0000)

Calculated values
- Energy above the most stable polymorph in this dataset: 16.9 kJ per mole of atoms
- Space group: I4mm (107)
- Total magnetization: 0.0 μB per cell
- E: -14.792 eV per cell